[1]
# VHgS2Cl | the Alexandria database | PBE | relaxed
data_VHgS2Cl
_cell_length_a 4.598
_cell_length_b 4.598
_cell_length_c 4.896
_cell_angle_alpha 90.00
_cell_angle_beta 90.00
_cell_angle_gamma 90.00
_symmetry_space_group_name_H-M 'P 4/m m m'
_symmetry_Int_Tables_number 123
_symmetry_space_group_name_Hall '-P 4 2'
loop_
_atom_site_label
_atom_site_type_symbol
_atom_site_fract_x
_atom_site_fract_y
_atom_site_fract_z
V1 V 0.000 0.000 0.000
Hg1 Hg 0.500 0.500 0.500
S1 S 0.000 0.500 0.000
Cl1 Cl 0.000 0.000 0.500
# * raw formation energy: -27 kJ/mol of atoms
# * uncorrected energy: -0.1538 Ha/atom

---

[2]
# VHgS2Cl | the Alexandria database | PBE | relaxed
data_VHgS2Cl
_cell_length_a 5.012
_cell_length_b 5.012
_cell_length_c 5.077
_cell_angle_alpha 90.00
_cell_angle_beta 90.00
_cell_angle_gamma 90.00
_symmetry_space_group_name_H-M 'P 4/m m m'
_symmetry_Int_Tables_number 123
_symmetry_space_group_name_Hall '-P 4 2'
loop_
_atom_site_label
_atom_site_type_symbol
_atom_site_fract_x
_atom_site_fract_y
_atom_site_fract_z
V1 V 0.000 0.000 0.000
Hg1 Hg 0.500 0.500 0.500
S1 S 0.000 0.500 0.500
Cl1 Cl 0.500 0.500 0.000
# * raw formation energy: 70 kJ/mol of atoms
# * uncorrected energy: -0.1167 Ha/atom

---

[3]
# HgWSCl2 | the Alexandria database | PBE | relaxed
data_HgWSCl2
_cell_length_a 5.055
_cell_length_b 5.055
_cell_length_c 5.236
_cell_angle_alpha 90.00
_cell_angle_beta 90.00
_cell_angle_gamma 90.00
_symmetry_space_group_name_H-M 'P 4/m m m'
_symmetry_Int_Tables_number 123
_symmetry_space_group_name_Hall '-P 4 2'
loop_
_atom_site_label
_atom_site_type_symbol
_atom_site_fract_x
_atom_site_fract_y
_atom_site_fract_z
Hg1 Hg 0.000 0.000 0.000
W1 W 0.500 0.500 0.500
S1 S 0.000 0.000 0.500
Cl1 Cl 0.000 0.500 0.000
# * raw formation energy: 120 kJ/mol of atoms
# * uncorrected energy: -0.1091 Ha/atom

---

[4]
# HgWSCl2 | the Alexandria database | PBE | relaxed
data_HgWSCl2
_cell_length_a 4.919
_cell_length_b 4.919
_cell_length_c 4.659
_cell_angle_alpha 90.00
_cell_angle_beta 90.00
_cell_angle_gamma 90.00
_symmetry_space_group_name_H-M 'P 4/m m m'
_symmetry_Int_Tables_number 123
_symmetry_space_group_name_Hall '-P 4 2'
loop_
_atom_site_label
_atom_site_type_symbol
_atom_site_fract_x
_atom_site_fract_y
_atom_site_fract_z
Hg1 Hg 0.000 0.000 0.000
W1 W 0.500 0.500 0.500
S1 S 0.500 0.500 0.000
Cl1 Cl 0.000 0.500 0.500
# * raw formation energy: -10 kJ/mol of atoms
# * uncorrected energy: -0.1586 Ha/atom

---

[5]
# HgWS2Cl | the Alexandria database | PBE | relaxed
data_HgWS2Cl
_cell_length_a 4.702
_cell_length_b 4.702
_cell_length_c 4.963
_cell_angle_alpha 90.00
_cell_angle_beta 90.00
_cell_angle_gamma 90.00
_symmetry_space_group_name_H-M 'P 4/m m m'
_symmetry_Int_Tables_number 123
_symmetry_space_group_name_Hall '-P 4 2'
loop_
_atom_site_label
_atom_site_type_symbol
_atom_site_fract_x
_atom_site_fract_y
_atom_site_fract_z
Hg1 Hg 0.000 0.000 0.000
W1 W 0.500 0.500 0.500
S1 S 0.000 0.500 0.500
Cl1 Cl 0.500 0.500 0.000
# * raw formation energy: -5 kJ/mol of atoms
# * uncorrected energy: -0.1735 Ha/atom

---

[6]
# HgWS2Cl | the Alexandria database | PBE | relaxed
data_HgWS2Cl
_cell_length_a 5.015
_cell_length_b 5.015
_cell_length_c 4.942
_cell_angle_alpha 90.00
_cell_angle_beta 90.00
_cell_angle_gamma 90.00
_symmetry_space_group_name_H-M 'P 4/m m m'
_symmetry_Int_Tables_number 123
_symmetry_space_group_name_Hall '-P 4 2'
loop_
_atom_site_label
_atom_site_type_symbol
_atom_site_fract_x
_atom_site_fract_y
_atom_site_fract_z
Hg1 Hg 0.000 0.000 0.000
W1 W 0.500 0.500 0.500
S1 S 0.000 0.500 0.000
Cl1 Cl 0.000 0.000 0.500
# * raw formation energy: 142 kJ/mol of atoms
# * uncorrected energy: -0.1176 Ha/atom